A geometry-optimized BeNb2SnH structure, computed with PBE-GGA.

abc: 4.074 4.074 4.278
angles: 90.00 90.00 90.00
Space group P4/mmm (No. 123)
One atom of each set of equivalent atoms:
1 Be 0.000 0.000 0.000 [1 per cell]
2 Nb 0.000 0.500 0.500 [2 per cell]
3 Sn 0.500 0.500 0.000 [1 per cell]
4 H 0.000 0.000 0.500 [1 per cell]

Calculated volume, Å³ per cell: 71.0
Magnetization, Bohr magnetons per cell: 0.00

***

A geometry-optimized TaBeNb2H structure, computed with PBE-GGA.

abc: 3.915 3.915 4.438
angles: 90.00 90.00 90.00
Space group P4/mmm (No. 123)
One atom of each set of equivalent atoms:
1 Ta 0.000 0.000 0.000 [1 per cell]
2 Be 0.500 0.500 0.000 [1 per cell]
3 Nb 0.000 0.500 0.500 [2 per cell]
4 H 0.500 0.500 0.500 [1 per cell]

Calculated volume, Å³ per cell: 68.0
Magnetization, Bohr magnetons per cell: 0.00
Excess energy over the best structure of this formula in the dataset, meV/atom: 3

***

A geometry-optimized TaBeNb2H structure, computed with PBE-GGA.

abc: 3.979 3.979 4.304
angles: 90.00 90.00 90.00
Space group P4/mmm (No. 123)
One atom of each set of equivalent atoms:
1 Ta 0.000 0.000 0.000 [1 per cell]
2 Be 0.500 0.500 0.000 [1 per cell]
3 Nb 0.000 0.500 0.500 [2 per cell]
4 H 0.000 0.000 0.500 [1 per cell]

Calculated volume, Å³ per cell: 68.1
Magnetization, Bohr magnetons per cell: 0.00
Excess energy over the best structure of this formula in the dataset, meV/atom: 0

***

Values of uncorrected energy, in order: -6.152, -7.763, -7.766, all in eV per atom.